1.
Density functional theory data (PBE+U) for a geometry-optimized PuV2AgO8 structure.

Lattice parameters (Å, degrees): 5.8755 5.8755 6.5274 90.00 90.00 120.00
Space group P-3m1 (No. 164)
Unique sites:
Pu (0.0000, 0.0000, 0.0000) (multiplicity 1)
V (0.3333, 0.6667, 0.7139) (multiplicity 2)
Ag (0.0000, 0.0000, 0.5000) (multiplicity 1)
O (0.1666, 0.3332, 0.8023) (multiplicity 6)
O (0.3333, 0.6667, 0.4635) (multiplicity 2)

Calculated values
**ρ**: 5.0 g/cm3
**Density of states at the Fermi level**: 0.765 states/eV/atom
**Uncorrected energy**: -7.81 eV per atom
**Magnetization**: 3.000 μB/f.u.

***

2.
Density functional theory data (PBE+U) for a geometry-optimized PuVAg2O6 structure.

Lattice parameters (Å, degrees): 5.6075 5.6075 4.3028 90.00 90.00 90.00
Space group P4mm (No. 99)
Unique sites:
Pu (0.0000, 0.0000, 0.0000) (multiplicity 1)
V (0.5000, 0.5000, 0.9266) (multiplicity 1)
Ag (0.0000, 0.5000, 0.4289) (multiplicity 2)
O (0.0000, 0.0000, 0.5046) (multiplicity 1)
O (0.2662, 0.2662, 0.0170) (multiplicity 4)
O (0.5000, 0.5000, 0.5361) (multiplicity 1)

Calculated values
**ρ**: 7.4 g/cm3
**Density of states at the Fermi level**: 0.612 states/eV/atom
**Uncorrected energy**: -7.25 eV per atom
**Magnetization**: 3.000 μB/f.u.

***

3.
Density functional theory data (PBE+U) for a geometry-optimized PuVAgO6 structure.

Lattice parameters (Å, degrees): 5.3431 5.3431 9.9366 90.00 90.00 120.00
Space group P-31c (No. 163)
Unique sites:
Pu (0.3333, 0.6667, 0.2500) (multiplicity 2)
V (0.3333, 0.6667, 0.7500) (multiplicity 2)
Ag (0.0000, 0.0000, 0.0000) (multiplicity 2)
O (0.0125, 0.3727, 0.6452) (multiplicity 12)

Calculated values
**ρ**: 6.7 g/cm3
**Density of states at the Fermi level**: 0.067 states/eV/atom
**Uncorrected energy**: -7.82 eV per atom
**Magnetization**: 2.000 μB/f.u.